Entry 1:
Compound: LaPbCl2
Source: Alexandria
Functional: GGA-PBEsol
Structure: optimized geometry

POSCAR file:
```
LaPbCl2
1.0
3.4913 0.0000 0.0000
0.0000 6.1915 0.0000
0.0000 0.0000 9.8738
La Pb Cl
2 2 4
Direct
0.0000 0.0000 0.0000 La
0.5000 0.5000 0.5000 La
0.0000 0.0000 0.5000 Pb
0.5000 0.5000 0.0000 Pb
0.0000 0.5000 0.2722 Cl
0.0000 0.5000 0.7278 Cl
0.5000 0.0000 0.2278 Cl
0.5000 0.0000 0.7722 Cl
```

Calculated values
**Magnetic moment**: 0.00 μB/cell
**Symmetry**: Immm, No. 71
**E**: -4.66 eV per atom
**DOS(E_F)**: 2.2 states/eV/f.u.
**Polymorph energy (0 for the lowest one)**: 13 meV per atom
**Uncorrected formation energy**: -5.3 eV/f.u.


Entry 2:
Compound: YMg2
Source: Alexandria
Functional: GGA-PBEsol
Structure: optimized geometry

POSCAR file:
```
YMg2
1.0
5.2456 0.0000 0.0000
-2.6228 4.5428 0.0000
0.0000 0.0000 6.3097
Y Mg
2 4
Direct
0.3333 0.6667 0.2500 Y
0.6667 0.3333 0.7500 Y
0.0000 0.0000 0.0000 Mg
0.0000 0.0000 0.5000 Mg
0.3333 0.6667 0.7500 Mg
0.6667 0.3333 0.2500 Mg
```

Calculated values
**Magnetic moment**: 0.00 μB/cell
**Symmetry**: P6_3/mmc, No. 194
**E**: -3.46 eV per atom
**DOS(E_F)**: 2.6 states/eV/f.u.
**Energy of formation from the pure elements**: -0.1 eV per formula unit


Entry 3:
Compound: Ce2Si7
Source: Alexandria
Functional: GGA-PBEsol
Structure: optimized geometry

POSCAR file:
```
Ce2Si7
1.0
3.4769 -4.9381 0.0000
3.4769 4.9381 0.0000
0.0000 0.0000 4.4075
Ce Si
2 7
Direct
0.2051 0.7949 0.0000 Ce
0.7949 0.2051 0.0000 Ce
0.0000 0.0000 0.5000 Si
0.1793 0.4443 0.5000 Si
0.3179 0.3179 0.0000 Si
0.4443 0.1793 0.5000 Si
0.5557 0.8207 0.5000 Si
0.6821 0.6821 0.0000 Si
0.8207 0.5557 0.5000 Si
```

Calculated values
**Magnetic moment**: 0.00 μB/cell
**Symmetry**: Cmmm, No. 65
**E**: -6.38 eV per atom
**DOS(E_F)**: 6.7 states/eV/f.u.
**Uncorrected formation energy**: -4.0 eV/f.u.